No. 1
A plane-wave DFT calculation with GGA-PBE was carried out for an optimized crystal structure of Ho4SnSbSe2.

a b c (Å): 7.3048 4.2380 7.3379
angles (deg): 90.00 109.52 90.00
Closest atoms and distances in Å follow each position.
Fractional positions:
Ho 0.2434 0.0000 0.2447  3 Se 2.96-2.98, 1 Sn 3.00, 2 Sb 3.03
Ho 0.2441 0.5000 0.7506  3 Se 2.95-2.98, 2 Sn 3.01, 1 Sb 3.03
Ho 0.7559 0.5000 0.2494  3 Se 2.95-2.98, 2 Sn 3.01, 1 Sb 3.03
Ho 0.7566 0.0000 0.7553  3 Se 2.96-2.98, 1 Sn 3.00, 2 Sb 3.03
Sn 0.5000 0.0000 0.0000  6 Ho 3.00-3.01
Sb 0.5000 0.5000 0.5000  6 Ho 3.03
Se 0.0000 0.0000 0.5000  6 Ho 2.98
Se 0.0000 0.5000 0.0000  6 Ho 2.95-2.96

## Properties
* mass density: 8.21 Mg/m³
* calculated volume: 26.764 A^3/atom
* symmetry: P2/m
* uncorrected formation energy: -1.3227 eV per atom

No. 2
A plane-wave DFT calculation with GGA-PBE was carried out for an optimized crystal structure of LiLa2Sn4Pt3.

a b c (Å): 4.6005 4.6005 10.9184
angles (deg): 90.00 90.00 90.00
Closest atoms and distances in Å follow each position.
Fractional positions:
Li 0.0000 0.0000 0.0000  4 Sn 2.70
La 0.0000 0.5000 0.7557  8 Sn 3.49-3.62, 2 Li 3.52, 6 Pt 3.52-3.53
La 0.5000 0.0000 0.2443  8 Sn 3.49-3.62, 2 Li 3.52, 6 Pt 3.52-3.53
Sn 0.0000 0.0000 0.5000  4 Pt 2.70
Sn 0.0000 0.5000 0.1289  3 Pt 2.64-2.70, 2 Li 2.70
Sn 0.5000 0.0000 0.8711  3 Pt 2.64-2.70, 2 Li 2.70
Sn 0.5000 0.5000 0.5000  4 Pt 2.70
Pt 0.0000 0.5000 0.3706  5 Sn 2.64-2.70
Pt 0.5000 0.0000 0.6294  5 Sn 2.64-2.70
Pt 0.5000 0.5000 0.0000  4 Sn 2.70

## Properties
* mass density: 9.66 Mg/m³
* DFT formation energy: -827 kJ/mol of formula units
* calculated volume: 23.108 A^3/atom
* symmetry: P-4m2

No. 3
A plane-wave DFT calculation with GGA-PBE was carried out for an optimized crystal structure of NaCe5Pb6.

a b c (Å): 9.2772 9.2772 9.2772
angles (deg): 148.46 120.99 68.45
Closest atoms and distances in Å follow each position.
Fractional positions:
Na 0.0000 0.0000 0.0000  8 Pb 3.37-3.43, 4 Ce 3.54
Ce 0.1624 0.6624 0.5000  8 Pb 3.34-3.48, 2 Na 3.54, 2 Ce 3.68
Ce 0.3372 0.3372 0.0000  8 Pb 3.42-3.45, 4 Ce 3.55-3.68
Ce 0.5000 0.0000 0.5000  8 Pb 3.44-3.45, 4 Ce 3.55
Ce 0.6628 0.6628 0.0000  8 Pb 3.42-3.45, 4 Ce 3.55-3.68
Ce 0.8376 0.3376 0.5000  8 Pb 3.34-3.48, 2 Na 3.54, 2 Ce 3.68
Pb 0.0805 0.8325 0.2480  7 Ce 3.39-3.48, 1 Na 3.43, 4 Pb 3.57-3.60
Pb 0.2441 0.5000 0.7441  6 Ce 3.34-3.44, 2 Na 3.37, 4 Pb 3.60
Pb 0.4155 0.1675 0.2480  7 Ce 3.39-3.48, 1 Na 3.43, 4 Pb 3.57-3.60
Pb 0.5845 0.8325 0.7520  7 Ce 3.39-3.48, 1 Na 3.43, 4 Pb 3.57-3.60
Pb 0.7559 0.5000 0.2559  6 Ce 3.34-3.44, 2 Na 3.37, 4 Pb 3.60
Pb 0.9195 0.1675 0.7520  7 Ce 3.39-3.48, 1 Na 3.43, 4 Pb 3.57-3.60

## Properties
* mass density: 9.24 Mg/m³
* DFT formation energy: -416 kJ/mol of formula units
* calculated volume: 29.452 A^3/atom
* symmetry: Immm

No. 4
A plane-wave DFT calculation with GGA-PBE was carried out for an optimized crystal structure of Ac6Rh2SeBr3.

a b c (Å): 7.7264 7.7264 8.4992
angles (deg): 98.70 98.70 119.96
Closest atoms and distances in Å follow each position.
Fractional positions:
Ac 0.0763 0.4327 0.7995  2 Rh 2.97, 1 Se 3.20
Ac 0.2100 0.2100 0.1993  2 Rh 2.97, 1 Se 3.19
Ac 0.4327 0.0763 0.7995  2 Rh 2.97, 1 Se 3.20
Ac 0.5673 0.9237 0.2005  2 Rh 2.97, 1 Se 3.20
Ac 0.7900 0.7900 0.8007  2 Rh 2.97, 1 Se 3.19
Ac 0.9237 0.5673 0.2005  2 Rh 2.97, 1 Se 3.20
Rh 0.1671 0.8329 0.0000  6 Ac 2.97
Rh 0.8329 0.1671 0.0000  6 Ac 2.97
Se 0.5000 0.5000 0.0000  6 Ac 3.19-3.20
Br 0.0000 0.0000 0.5000  6 Ac 3.42-3.61
Br 0.3391 0.6609 0.5000  6 Ac 3.46-3.61
Br 0.6609 0.3391 0.5000  6 Ac 3.46-3.61

## Properties
* mass density: 7.48 Mg/m³
* calculated volume: 34.921 A^3/atom
* symmetry: C2/m
* uncorrected formation energy: -1.2534 eV per atom

No. 5
A plane-wave DFT calculation with GGA-PBE was carried out for an optimized crystal structure of Ag3WI.

a b c (Å): 5.3745 5.3745 5.3745
angles (deg): 90.00 90.00 90.00
Closest atoms and distances in Å follow each position.
Fractional positions:
Ag 0.0000 0.0000 0.5000  2 I 2.69
Ag 0.0000 0.5000 0.0000  2 I 2.69
Ag 0.5000 0.0000 0.0000  2 I 2.69
W 0.5000 0.5000 0.5000  12 Ag 3.80
I 0.0000 0.0000 0.0000  6 Ag 2.69

## Properties
* energy above the most stable polymorph in this dataset: 334.4 meV/atom
* mass density: 6.79 Mg/m³
* calculated volume: 31.049 A^3/atom
* symmetry: Pm-3m
* uncorrected formation energy: 1.8946 eV per atom

No. 6
A plane-wave DFT calculation with GGA-PBE was carried out for an optimized crystal structure of RuSeBr2.

a b c (Å): 4.9019 4.9019 4.9019
angles (deg): 60.00 60.00 60.00
Closest atoms and distances in Å follow each position.
Fractional positions:
Ru 0.0000 0.0000 0.0000  8 Br 3.00
Se 0.5000 0.5000 0.5000  8 Br 3.00
Br 0.2500 0.2500 0.2500  4 Se 3.00, 4 Ru 3.00
Br 0.7500 0.7500 0.7500  4 Se 3.00, 4 Ru 3.00

## Properties
* energy above the most stable polymorph in this dataset: 1190.2 meV/atom
* mass density: 6.78 Mg/m³
* calculated volume: 20.822 A^3/atom
* symmetry: Fm-3m
* uncorrected formation energy: 1.0005 eV per atom

Which value of calculated volume does entry 4 give? 34.921 A^3/atom